Here is a relaxed structure of AcDyAgBi from the Alexandria database. Energies are from PBE.

Calculated values
- spin magnetization (μB/f.u.) = 0.78
- ρ (kg/m3) = 9628
- formation energy (kJ/mol of formula units) = -153
- space group = F-43m, No. 216

Cell lengths 5.564, 5.564, 5.564 Å; angles 60.00, 60.00, 60.00 degrees
Each line ends with the local moment (μB).
Positions (direct):
Dy 0.500 0.500 0.500  0.28
Ag 0.250 0.250 0.250  0.02
Bi 0.750 0.750 0.750  -0.01
Ac 0.000 0.000 0.000  0.11